Entry 1:
A plane-wave DFT calculation with PBE-GGA was carried out for HfReTe2As after structural relaxation.

## Properties
* E_tot: -27.63 eV for the cell shown
* total moment: 0.90 μB/atom
* space-group type: P4/mmm (123)
* ΔE_f (raw): 5.709 eV/f.u.

Cell: 5.5390 5.5390 5.1136 Å, 90.00 90.00 90.00°
Closest atoms and distances in Å follow each position.
Sites, in units of the cell vectors:
Hf 0.0000 0.0000 0.0000  2 As 2.56, 4 Te 2.77
Re 0.5000 0.5000 0.5000  8 Te 3.77, 4 As 3.92
Te 0.0000 0.5000 0.0000  2 Hf 2.77
Te 0.5000 0.0000 0.0000  2 Hf 2.77
As 0.0000 0.0000 0.5000  2 Hf 2.56

***

Entry 2:
A plane-wave DFT calculation with PBE-GGA was carried out for Hf2ReAsW after structural relaxation.

## Properties
* E_tot: -43.88 eV for the cell shown
* total moment: 0.41 μB/atom
* space-group type: P4/mmm (123)
* formation energy from the elements: 1.215 eV per atom

Cell: 5.0404 5.0404 4.5570 Å, 90.00 90.00 90.00°
Closest atoms and distances in Å follow each position.
Sites, in units of the cell vectors:
Hf 0.0000 0.5000 0.0000  2 Re 2.52
Hf 0.5000 0.0000 0.0000  2 Re 2.52
Re 0.0000 0.0000 0.0000  2 As 2.28, 4 Hf 2.52
As 0.0000 0.0000 0.5000  2 Re 2.28
W 0.5000 0.5000 0.5000  8 Hf 3.40, 4 As 3.56

***

Entry 3:
A plane-wave DFT calculation with PBE-GGA was carried out for Hf8AsRh2 after structural relaxation.

## Properties
* E_tot: -103.43 eV for the cell shown
* total moment: 0.00 μB/atom
* space-group type: C2/m (12)
* formation energy from the elements: -0.404 eV per atom

Cell: 8.7585 8.7585 5.9503 Å, 106.64 106.64 31.13°
Closest atoms and distances in Å follow each position.
Sites, in units of the cell vectors:
Hf 0.0172 0.0172 0.2623  1 Rh 2.55, 2 As 2.80
Hf 0.2099 0.2099 0.8624  1 Rh 2.63
Hf 0.3271 0.3271 0.4767  3 Rh 2.62-2.83, 1 As 2.88
Hf 0.4057 0.4057 0.0192  1 As 2.83, 2 Rh 2.91, 4 Hf 3.09-3.16
Hf 0.5943 0.5943 0.9808  1 As 2.83, 2 Rh 2.91, 4 Hf 3.09-3.16
Hf 0.6729 0.6729 0.5233  3 Rh 2.62-2.83, 1 As 2.88
Hf 0.7901 0.7901 0.1376  1 Rh 2.63
Hf 0.9828 0.9828 0.7377  1 Rh 2.55, 2 As 2.80
As 0.5000 0.5000 0.5000  8 Hf 2.80-2.88
Rh 0.1676 0.1676 0.2537  5 Hf 2.55-2.83
Rh 0.8324 0.8324 0.7463  5 Hf 2.55-2.83

***

Entry 4:
A plane-wave DFT calculation with PBE-GGA was carried out for HfAsRh3 after structural relaxation.

## Properties
* E_tot: -36.33 eV for the cell shown
* excess energy over the best structure of this formula in the dataset: 0 meV/atom
* total moment: 0.00 μB/atom
* space-group type: Pm-3m (221)
* formation energy from the elements: 0.065 eV per atom

Cell: 4.5166 4.5166 4.5166 Å, 90.00 90.00 90.00°
Closest atoms and distances in Å follow each position.
Sites, in units of the cell vectors:
Hf 0.0000 0.0000 0.0000  12 Rh 3.19
As 0.5000 0.5000 0.5000  6 Rh 2.26
Rh 0.0000 0.5000 0.5000  2 As 2.26
Rh 0.5000 0.0000 0.5000  2 As 2.26
Rh 0.5000 0.5000 0.0000  2 As 2.26

***

Entry 5:
A plane-wave DFT calculation with PBE-GGA was carried out for Hf3AsRh after structural relaxation.

## Properties
* E_tot: -41.19 eV for the cell shown
* excess energy over the best structure of this formula in the dataset: 0 meV/atom
* total moment: 0.00 μB/atom
* space-group type: Pm-3m (221)
* formation energy from the elements: 0.134 eV per atom

Cell: 4.9538 4.9538 4.9538 Å, 90.00 90.00 90.00°
Closest atoms and distances in Å follow each position.
Sites, in units of the cell vectors:
Hf 0.0000 0.0000 0.5000  2 Rh 2.48
Hf 0.0000 0.5000 0.0000  2 Rh 2.48
Hf 0.5000 0.0000 0.0000  2 Rh 2.48
As 0.5000 0.5000 0.5000  12 Hf 3.50
Rh 0.0000 0.0000 0.0000  6 Hf 2.48

***

Entry 6:
A plane-wave DFT calculation with PBE-GGA was carried out for Hf2AsRh after structural relaxation.

## Properties
* E_tot: -32.09 eV for the cell shown
* total moment: 0.00 μB/atom
* space-group type: R-3m (166)
* formation energy from the elements: -0.045 eV per atom

Cell: 8.5718 8.5718 8.5718 Å, 23.03 23.03 23.03°
Closest atoms and distances in Å follow each position.
Sites, in units of the cell vectors:
Hf 0.0969 0.0969 0.0969  1 Rh 2.43, 3 As 2.64
Hf 0.9031 0.9031 0.9031  1 Rh 2.43, 3 As 2.64
As 0.5000 0.5000 0.5000  6 Hf 2.64
Rh 0.0000 0.0000 0.0000  2 Hf 2.43